Entry 1:
! La8MgAl7O24 PBEsol optimized geometry; values from VASP
! SG	Pm-3m
! ΔE_f (raw)	-3287	meV per atom
&SYSTEM
  ibrav = 0, nat = 40, ntyp = 4
/
ATOMIC_SPECIES
La 138.91 La.upf
Mg 24.30 Mg.upf
Al 26.98 Al.upf
O 16.00 O.upf
CELL_PARAMETERS angstrom
7.575 0.000 0.000
0.000 7.575 0.000
0.000 0.000 7.575
ATOMIC_POSITIONS angstrom
La 1.883 1.883 1.883
La 1.883 1.883 5.692
La 1.883 5.692 1.883
La 1.883 5.692 5.692
La 5.692 1.883 1.883
La 5.692 1.883 5.692
La 5.692 5.692 1.883
La 5.692 5.692 5.692
Mg 0.000 0.000 0.000
Al 0.000 0.000 3.788
Al 0.000 3.788 0.000
Al 0.000 3.788 3.788
Al 3.788 0.000 0.000
Al 3.788 0.000 3.788
Al 3.788 3.788 0.000
Al 3.788 3.788 3.788
O 0.000 0.000 1.969
O 0.000 0.000 5.606
O 0.000 1.906 3.788
O 0.000 1.969 0.000
O 0.000 3.788 1.906
O 0.000 3.788 5.669
O 0.000 5.606 0.000
O 0.000 5.669 3.788
O 1.896 3.788 3.788
O 1.906 0.000 3.788
O 1.906 3.788 0.000
O 1.969 0.000 0.000
O 3.788 0.000 1.906
O 3.788 0.000 5.669
O 3.788 1.896 3.788
O 3.788 1.906 0.000
O 3.788 3.788 1.896
O 3.788 3.788 5.680
O 3.788 5.669 0.000
O 3.788 5.680 3.788
O 5.606 0.000 0.000
O 5.669 0.000 3.788
O 5.669 3.788 0.000
O 5.680 3.788 3.788


Entry 2:
! LaMgAl11O19 PBEsol optimized geometry; values from VASP
! SG	P6_3mc
! ΔE_f (raw)	-3112	meV per atom
&SYSTEM
  ibrav = 0, nat = 64, ntyp = 4
/
ATOMIC_SPECIES
La 138.91 La.upf
Mg 24.30 Mg.upf
Al 26.98 Al.upf
O 16.00 O.upf
CELL_PARAMETERS angstrom
5.604 0.000 0.000
-2.802 4.853 0.000
0.000 0.000 21.997
ATOMIC_POSITIONS angstrom
La 0.000 3.236 0.000
La 2.802 1.618 10.999
Mg 0.000 3.236 15.912
Mg 2.802 1.618 4.913
Al 0.000 0.000 0.242
Al 0.000 0.000 5.448
Al 0.000 0.000 11.241
Al 0.000 0.000 16.447
Al 0.000 1.616 3.142
Al -1.403 4.045 3.142
Al 0.000 1.636 18.898
Al -1.385 4.035 18.898
Al 1.400 0.808 14.141
Al 0.000 3.236 6.088
Al 0.000 3.236 9.708
Al 0.000 3.236 12.360
Al 1.417 0.818 7.899
Al 1.385 4.035 18.898
Al 2.802 1.618 1.362
Al 2.802 1.618 17.086
Al 2.802 1.618 20.707
Al 1.403 4.045 3.142
Al 4.187 0.818 7.899
Al 2.802 3.217 7.899
Al 4.205 0.808 14.141
Al 2.802 3.237 14.141
O 0.000 0.000 2.111
O 0.000 0.000 8.756
O 0.000 0.000 13.110
O 0.000 0.000 19.755
O -1.366 2.447 19.864
O -1.342 2.461 2.170
O 0.000 1.437 15.265
O -1.558 4.135 15.265
O 0.000 1.516 6.644
O -1.490 4.096 6.644
O 0.000 1.760 11.025
O -1.278 3.973 11.025
O 1.244 0.718 4.267
O 1.313 0.758 17.643
O 0.000 3.236 4.277
O 0.000 3.236 17.873
O 1.524 0.880 0.026
O 1.342 2.461 2.170
O 0.000 4.785 2.170
O 1.366 2.447 19.864
O 0.000 4.812 19.864
O 2.802 0.041 8.866
O 1.437 2.406 8.866
O 2.802 0.068 13.169
O 1.460 2.392 13.169
O 1.278 3.973 11.025
O 2.802 1.618 6.875
O 2.802 1.618 15.276
O 1.490 4.096 6.644
O 1.558 4.135 15.265
O 4.080 0.880 0.026
O 2.802 3.093 0.026
O 4.292 0.758 17.643
O 2.802 3.338 17.643
O 4.360 0.718 4.267
O 2.802 3.417 4.267
O 4.144 2.392 13.169
O 4.168 2.406 8.866


Entry 3:
! LaMgScAl2 PBEsol optimized geometry; values from VASP
! SG	P4/mmm
! energy relative to the elements	0.350	eV/atom
&SYSTEM
  ibrav = 0, nat = 5, ntyp = 4
/
ATOMIC_SPECIES
La 138.91 La.upf
Mg 24.30 Mg.upf
Sc 44.96 Sc.upf
Al 26.98 Al.upf
CELL_PARAMETERS angstrom
5.111 0.000 0.000
0.000 5.111 0.000
0.000 0.000 5.158
ATOMIC_POSITIONS angstrom
La 0.000 0.000 0.000
Mg 2.555 2.555 0.000
Sc 2.555 2.555 2.579
Al 0.000 2.555 2.579
Al 2.555 0.000 2.579


Entry 4:
! LaMnAl2 PBEsol optimized geometry; values from VASP
! SG	I-42d
! energy relative to the elements	0.309	eV/atom
&SYSTEM
  ibrav = 0, nat = 8, ntyp = 3
/
ATOMIC_SPECIES
La 138.91 La.upf
Mn 54.94 Mn.upf
Al 26.98 Al.upf
CELL_PARAMETERS angstrom
-2.385 2.385 8.638
2.385 -2.385 8.638
2.385 2.385 -8.638
ATOMIC_POSITIONS angstrom
La 0.000 0.000 0.000
La 0.000 2.385 4.319
Mn 2.385 0.000 4.319
Mn 0.000 0.000 8.638
Al 1.192 -0.328 6.479
Al 2.057 1.192 2.160
Al 1.192 2.713 -2.160
Al 0.328 1.192 10.798


Entry 5:
! La3MnAl PBEsol optimized geometry; values from VASP
! SG	Pm-3m
! energy relative to the elements	0.793	eV/atom
&SYSTEM
  ibrav = 0, nat = 5, ntyp = 3
/
ATOMIC_SPECIES
La 138.91 La.upf
Mn 54.94 Mn.upf
Al 26.98 Al.upf
CELL_PARAMETERS angstrom
5.686 0.000 0.000
0.000 5.686 0.000
0.000 0.000 5.686
ATOMIC_POSITIONS angstrom
La 0.000 0.000 2.843
La 0.000 2.843 0.000
La 2.843 0.000 0.000
Mn 2.843 2.843 2.843
Al 0.000 0.000 0.000


Entry 6:
! LaMnAl PBEsol optimized geometry; values from VASP
! SG	I4mm
! energy relative to the elements	0.075	eV/atom
&SYSTEM
  ibrav = 0, nat = 3, ntyp = 3
/
ATOMIC_SPECIES
La 138.91 La.upf
Mn 54.94 Mn.upf
Al 26.98 Al.upf
CELL_PARAMETERS angstrom
-1.589 1.589 5.941
1.589 -1.589 5.941
1.589 1.589 -5.941
ATOMIC_POSITIONS angstrom
La 0.000 0.000 0.000
Mn 0.000 0.000 3.783
Al 0.000 0.000 8.442


Entry 7:
! LaMnAl2 PBEsol optimized geometry; values from VASP
! SG	P4/mmm
! energy relative to the elements	-0.150	eV/atom
&SYSTEM
  ibrav = 0, nat = 4, ntyp = 3
/
ATOMIC_SPECIES
La 138.91 La.upf
Mn 54.94 Mn.upf
Al 26.98 Al.upf
CELL_PARAMETERS angstrom
3.049 0.000 0.000
0.000 3.049 0.000
0.000 0.000 7.643
ATOMIC_POSITIONS angstrom
La 0.000 0.000 0.000
Mn 0.000 0.000 3.821
Al 1.524 1.524 2.481
Al 1.524 1.524 5.162


Entry 8:
! LaMn3Al PBEsol optimized geometry; values from VASP
! SG	Pm-3m
! energy relative to the elements	1.680	eV/atom
&SYSTEM
  ibrav = 0, nat = 5, ntyp = 3
/
ATOMIC_SPECIES
La 138.91 La.upf
Mn 54.94 Mn.upf
Al 26.98 Al.upf
CELL_PARAMETERS angstrom
4.583 0.000 0.000
0.000 4.583 0.000
0.000 0.000 4.583
ATOMIC_POSITIONS angstrom
La 0.000 0.000 0.000
Mn 0.000 0.000 2.292
Mn 0.000 2.292 0.000
Mn 2.292 0.000 0.000
Al 2.292 2.292 2.292


Entry 9:
! LaMnAlNi3 PBEsol optimized geometry; values from VASP
! SG	P-6m2
! energy relative to the elements	-0.310	eV/atom
&SYSTEM
  ibrav = 0, nat = 6, ntyp = 4
/
ATOMIC_SPECIES
La 138.91 La.upf
Mn 54.94 Mn.upf
Al 26.98 Al.upf
Ni 58.69 Ni.upf
CELL_PARAMETERS angstrom
5.176 0.000 0.000
-2.588 4.482 0.000
0.000 0.000 3.854
ATOMIC_POSITIONS angstrom
La 0.000 0.000 0.000
Mn 0.000 2.988 0.000
Al 2.588 1.494 0.000
Ni -1.283 2.248 1.927
Ni 1.283 2.248 1.927
Ni 0.000 4.469 1.927


Entry 10:
! La3MnAlS7 PBEsol optimized geometry; values from VASP
! SG	P6_3
! ΔE_f (raw)	-1732	meV per atom
&SYSTEM
  ibrav = 0, nat = 24, ntyp = 4
/
ATOMIC_SPECIES
La 138.91 La.upf
Mn 54.94 Mn.upf
Al 26.98 Al.upf
S 32.06 S.upf
CELL_PARAMETERS angstrom
10.122 0.000 0.000
-5.061 8.766 0.000
0.000 0.000 5.939
ATOMIC_POSITIONS angstrom
La -2.469 6.703 0.000
La 0.491 3.276 0.000
La 3.082 1.213 2.970
La 1.979 7.553 0.000
La 4.571 5.490 2.970
La 7.531 2.063 2.970
Mn 0.000 0.000 1.371
Mn 0.000 0.000 4.341
Al 0.000 5.844 3.451
Al 5.061 2.922 0.481
S -3.427 7.474 2.797
S -1.613 4.532 4.321
S 0.303 2.061 2.797
S 1.936 0.769 5.767
S 0.000 5.844 1.240
S -0.330 7.897 4.321
S 1.943 5.104 4.321
S 3.118 3.662 1.351
S 5.392 0.869 1.351
S 5.061 2.922 4.210
S 3.125 7.998 2.797
S 4.759 6.705 5.767
S 6.674 4.235 1.351
S 8.489 1.293 5.767


Entry 11:
! LaAl3Mo PBEsol optimized geometry; values from VASP
! SG	Pm-3m
! energy relative to the elements	-0.094	eV/atom
&SYSTEM
  ibrav = 0, nat = 5, ntyp = 3
/
ATOMIC_SPECIES
La 138.91 La.upf
Al 26.98 Al.upf
Mo 95.94 Mo.upf
CELL_PARAMETERS angstrom
4.817 0.000 0.000
0.000 4.817 0.000
0.000 0.000 4.817
ATOMIC_POSITIONS angstrom
La 0.000 0.000 0.000
Al 0.000 2.409 2.409
Al 2.409 0.000 2.409
Al 2.409 2.409 0.000
Mo 2.409 2.409 2.409


Entry 12:
! LaAlMo PBEsol optimized geometry; values from VASP
! SG	F-43m
! energy relative to the elements	1.409	eV/atom
&SYSTEM
  ibrav = 0, nat = 3, ntyp = 3
/
ATOMIC_SPECIES
La 138.91 La.upf
Al 26.98 Al.upf
Mo 95.94 Mo.upf
CELL_PARAMETERS angstrom
0.000 3.388 3.388
3.388 0.000 3.388
3.388 3.388 0.000
ATOMIC_POSITIONS angstrom
La 0.000 0.000 0.000
Al 1.694 1.694 1.694
Mo 5.081 5.081 5.081


Entry 13:
! La2AlMo PBEsol optimized geometry; values from VASP
! SG	R3m
! energy relative to the elements	0.323	eV/atom
&SYSTEM
  ibrav = 0, nat = 4, ntyp = 3
/
ATOMIC_SPECIES
La 138.91 La.upf
Al 26.98 Al.upf
Mo 95.94 Mo.upf
CELL_PARAMETERS angstrom
1.740 1.005 9.113
-1.740 1.005 9.113
0.000 -2.009 9.113
ATOMIC_POSITIONS angstrom
La 0.000 0.000 0.000
La 0.000 0.000 6.146
Al 0.000 0.000 12.813
Mo 0.000 0.000 20.303


Entry 14:
! LaAl2Mo PBEsol optimized geometry; values from VASP
! SG	C2/m
! energy relative to the elements	0.224	eV/atom
&SYSTEM
  ibrav = 0, nat = 4, ntyp = 3
/
ATOMIC_SPECIES
La 138.91 La.upf
Al 26.98 Al.upf
Mo 95.94 Mo.upf
CELL_PARAMETERS angstrom
3.009 -4.249 0.000
3.009 4.249 0.000
-0.221 0.000 3.007
ATOMIC_POSITIONS angstrom
La 0.000 0.000 0.000
Al 1.394 2.124 1.504
Al 1.394 -2.124 1.504
Mo 3.009 0.000 0.000


Entry 15:
! La2AlMo PBEsol optimized geometry; values from VASP
! SG	Imm2
! energy relative to the elements	0.131	eV/atom
&SYSTEM
  ibrav = 0, nat = 4, ntyp = 3
/
ATOMIC_SPECIES
La 138.91 La.upf
Al 26.98 Al.upf
Mo 95.94 Mo.upf
CELL_PARAMETERS angstrom
-1.942 2.494 4.875
1.942 -2.494 4.875
1.942 2.494 -4.875
ATOMIC_POSITIONS angstrom
La 0.000 0.000 0.000
La 0.000 2.494 2.128
Al 1.942 0.000 2.672
Mo 0.000 0.000 4.374


Entry 16:
! LaTi2AlMo PBEsol optimized geometry; values from VASP
! SG	P4/mmm
! energy relative to the elements	0.845	eV/atom
&SYSTEM
  ibrav = 0, nat = 5, ntyp = 4
/
ATOMIC_SPECIES
La 138.91 La.upf
Ti 47.87 Ti.upf
Al 26.98 Al.upf
Mo 95.94 Mo.upf
CELL_PARAMETERS angstrom
4.815 0.000 0.000
0.000 4.815 0.000
0.000 0.000 4.726
ATOMIC_POSITIONS angstrom
La 0.000 0.000 0.000
Ti 0.000 2.408 2.363
Ti 2.408 0.000 2.363
Al 2.408 2.408 2.363
Mo 2.408 2.408 0.000


Entry 17:
! La3AlN PBEsol optimized geometry; values from VASP
! SG	Pm-3m
! ΔE_f (raw)	-809	meV per atom
&SYSTEM
  ibrav = 0, nat = 5, ntyp = 3
/
ATOMIC_SPECIES
La 138.91 La.upf
Al 26.98 Al.upf
N 14.01 N.upf
CELL_PARAMETERS angstrom
5.025 0.000 0.000
0.000 5.025 0.000
0.000 0.000 5.025
ATOMIC_POSITIONS angstrom
La 0.000 0.000 2.513
La 0.000 2.513 0.000
La 2.513 0.000 0.000
Al 2.513 2.513 2.513
N 0.000 0.000 0.000


Entry 18:
! LaAlSN2 PBEsol optimized geometry; values from VASP
! SG	P4/mmm
! ΔE_f (raw)	-705	meV per atom
&SYSTEM
  ibrav = 0, nat = 5, ntyp = 4
/
ATOMIC_SPECIES
La 138.91 La.upf
Al 26.98 Al.upf
S 32.06 S.upf
N 14.01 N.upf
CELL_PARAMETERS angstrom
3.915 0.000 0.000
0.000 3.915 0.000
0.000 0.000 4.694
ATOMIC_POSITIONS angstrom
La 0.000 0.000 0.000
Al 1.958 1.958 2.347
S 1.958 1.958 0.000
N 0.000 1.958 2.347
N 1.958 0.000 2.347


Entry 19:
! LaAlSeN2 PBEsol optimized geometry; values from VASP
! SG	P4/mmm
! ΔE_f (raw)	-461	meV per atom
&SYSTEM
  ibrav = 0, nat = 5, ntyp = 4
/
ATOMIC_SPECIES
La 138.91 La.upf
Al 26.98 Al.upf
Se 78.96 Se.upf
N 14.01 N.upf
CELL_PARAMETERS angstrom
3.991 0.000 0.000
0.000 3.991 0.000
0.000 0.000 4.894
ATOMIC_POSITIONS angstrom
La 0.000 0.000 0.000
Al 1.996 1.996 2.447
Se 1.996 1.996 0.000
N 0.000 1.996 2.447
N 1.996 0.000 2.447


Entry 20:
! LaAlTe2N PBEsol optimized geometry; values from VASP
! SG	P4/mmm
! ΔE_f (raw)	-534	meV per atom
&SYSTEM
  ibrav = 0, nat = 5, ntyp = 4
/
ATOMIC_SPECIES
La 138.91 La.upf
Al 26.98 Al.upf
Te 127.60 Te.upf
N 14.01 N.upf
CELL_PARAMETERS angstrom
5.583 0.000 0.000
0.000 5.583 0.000
0.000 0.000 3.660
ATOMIC_POSITIONS angstrom
La 0.000 0.000 0.000
Al 2.791 2.791 1.830
Te 0.000 2.791 1.830
Te 2.791 0.000 1.830
N 2.791 2.791 0.000


Entry 21:
! LaNbAl2Tl PBEsol optimized geometry; values from VASP
! SG	P4/mmm
! energy relative to the elements	1.242	eV/atom
&SYSTEM
  ibrav = 0, nat = 5, ntyp = 4
/
ATOMIC_SPECIES
La 138.91 La.upf
Nb 92.91 Nb.upf
Al 26.98 Al.upf
Tl 204.38 Tl.upf
CELL_PARAMETERS angstrom
4.988 0.000 0.000
0.000 4.988 0.000
0.000 0.000 5.814
ATOMIC_POSITIONS angstrom
La 0.000 0.000 0.000
Nb 2.494 2.494 0.000
Al 0.000 2.494 2.907
Al 2.494 0.000 2.907
Tl 0.000 0.000 2.907


Entry 22:
! LaNdAl4 PBEsol optimized geometry; values from VASP
! SG	F-43m
! energy relative to the elements	-0.502	eV/atom
&SYSTEM
  ibrav = 0, nat = 6, ntyp = 3
/
ATOMIC_SPECIES
La 138.91 La.upf
Nd 144.24 Nd.upf
Al 26.98 Al.upf
CELL_PARAMETERS angstrom
0.000 4.007 4.007
4.007 0.000 4.007
4.007 4.007 0.000
ATOMIC_POSITIONS angstrom
La 0.000 0.000 0.000
Nd 2.004 2.004 2.004
Al 5.010 3.005 3.005
Al 3.005 5.010 3.005
Al 3.005 3.005 5.010
Al 5.010 5.010 5.010